Entry 1:
A geometry-optimized Sc2Ga3Mo4C3 structure. Source: the Open Quantum Materials Database, functional PBE-GGA.

Geometry as CIF:
```
data_Sc2Ga3Mo4C3
_symmetry_space_group_name_H-M 'P 1'
_symmetry_Int_Tables_number 1
_cell_length_a 5.418
_cell_length_b 5.418
_cell_length_c 13.792
_cell_angle_alpha 101.94
_cell_angle_beta 101.94
_cell_angle_gamma 60.22
loop_
_symmetry_equiv_pos_as_xyz
'x,y,z'
loop_
_atom_site_label
_atom_site_type_symbol
_atom_site_fract_x
_atom_site_fract_y
_atom_site_fract_z
_atom_site_occupancy
Sc1 Sc 0.539 0.376 0.609 1
Sc2 Sc 0.624 0.461 0.891 1
Sc3 Sc 0.461 0.624 0.391 1
Sc4 Sc 0.376 0.539 0.109 1
Mo1 Mo 0.204 0.019 0.580 1
Mo2 Mo 0.981 0.796 0.920 1
Mo3 Mo 0.796 0.981 0.420 1
Mo4 Mo 0.148 0.305 0.420 1
Mo5 Mo 0.019 0.204 0.080 1
Mo6 Mo 0.305 0.148 0.920 1
Mo7 Mo 0.695 0.852 0.080 1
Mo8 Mo 0.852 0.695 0.580 1
C1 C 0.000 0.500 0.000 1
C2 C 0.166 0.667 0.500 1
C3 C 0.667 0.166 0.000 1
C4 C 0.500 0.000 0.500 1
C5 C 0.834 0.333 0.500 1
C6 C 0.333 0.834 0.000 1
Ga1 Ga 0.413 0.127 0.249 1
Ga2 Ga 0.956 0.044 0.250 1
Ga3 Ga 0.587 0.873 0.751 1
Ga4 Ga 0.127 0.413 0.749 1
Ga5 Ga 0.873 0.587 0.251 1
Ga6 Ga 0.044 0.956 0.750 1
```

## Properties
VASP energy ... -8.1368 eV/atom
Crystal system ... monoclinic

=====

Entry 2:
A geometry-optimized TaGa2Mo3C2 structure. Source: the Open Quantum Materials Database, functional PBE-GGA.

Geometry as CIF:
```
data_TaGa2Mo3C2
_symmetry_space_group_name_H-M 'P 1'
_symmetry_Int_Tables_number 1
_cell_length_a 3.103
_cell_length_b 3.103
_cell_length_c 13.208
_cell_angle_alpha 90.00
_cell_angle_beta 90.00
_cell_angle_gamma 120.00
loop_
_symmetry_equiv_pos_as_xyz
'x,y,z'
loop_
_atom_site_label
_atom_site_type_symbol
_atom_site_fract_x
_atom_site_fract_y
_atom_site_fract_z
_atom_site_occupancy
Ga1 Ga 0.667 0.333 0.744 1
Ga2 Ga 0.333 0.667 0.252 1
Ta1 Ta 0.333 0.667 0.910 1
Mo1 Mo 0.667 0.333 0.413 1
Mo2 Mo 0.333 0.667 0.587 1
Mo3 Mo 0.667 0.333 0.090 1
C1 C 0.000 0.000 0.500 1
C2 C 0.000 0.000 0.004 1
```

## Properties
VASP energy ... -8.8258 eV/atom
Crystal system ... trigonal

=====

Entry 3:
A geometry-optimized Ga3Mo2W4C3 structure. Source: the Open Quantum Materials Database, functional PBE-GGA.

Geometry as CIF:
```
data_Ga3Mo2W4C3
_symmetry_space_group_name_H-M 'P 1'
_symmetry_Int_Tables_number 1
_cell_length_a 5.334
_cell_length_b 5.336
_cell_length_c 13.531
_cell_angle_alpha 78.67
_cell_angle_beta 78.63
_cell_angle_gamma 60.01
loop_
_symmetry_equiv_pos_as_xyz
'x,y,z'
loop_
_atom_site_label
_atom_site_type_symbol
_atom_site_fract_x
_atom_site_fract_y
_atom_site_fract_z
_atom_site_occupancy
Ga1 Ga 0.584 0.917 0.750 1
Ga2 Ga 0.917 0.250 0.750 1
Ga3 Ga 0.749 0.417 0.250 1
Ga4 Ga 0.416 0.083 0.250 1
Ga5 Ga 0.250 0.583 0.750 1
Ga6 Ga 0.083 0.750 0.250 1
W1 W 0.697 0.033 0.412 1
W2 W 0.141 0.467 0.088 1
W3 W 0.200 0.862 0.912 1
W4 W 0.026 0.362 0.412 1
W5 W 0.974 0.638 0.588 1
W6 W 0.859 0.533 0.912 1
W7 W 0.800 0.138 0.088 1
W8 W 0.303 0.967 0.588 1
Mo1 Mo 0.530 0.192 0.910 1
Mo2 Mo 0.632 0.308 0.590 1
Mo3 Mo 0.368 0.692 0.410 1
Mo4 Mo 0.470 0.808 0.090 1
C1 C 0.500 0.500 0.000 1
C2 C 0.162 0.169 0.000 1
C3 C 0.669 0.670 0.500 1
C4 C 0.838 0.831 0.000 1
C5 C 0.000 0.000 0.500 1
C6 C 0.331 0.330 0.500 1
```

## Properties
VASP energy ... -9.1786 eV/atom
Crystal system ... monoclinic

=====

Entry 4:
A geometry-optimized Y4Ga3Mo2C3 structure. Source: the Open Quantum Materials Database, functional PBE-GGA.

Geometry as CIF:
```
data_Y4Ga3Mo2C3
_symmetry_space_group_name_H-M 'P 1'
_symmetry_Int_Tables_number 1
_cell_length_a 5.916
_cell_length_b 5.916
_cell_length_c 14.227
_cell_angle_alpha 102.71
_cell_angle_beta 102.71
_cell_angle_gamma 60.63
loop_
_symmetry_equiv_pos_as_xyz
'x,y,z'
loop_
_atom_site_label
_atom_site_type_symbol
_atom_site_fract_x
_atom_site_fract_y
_atom_site_fract_z
_atom_site_occupancy
Y1 Y 0.882 0.703 0.104 1
Y2 Y 0.703 0.882 0.604 1
Y3 Y 0.952 0.809 0.396 1
Y4 Y 0.297 0.118 0.396 1
Y5 Y 0.048 0.191 0.604 1
Y6 Y 0.809 0.952 0.896 1
Y7 Y 0.191 0.048 0.104 1
Y8 Y 0.118 0.297 0.896 1
Ga1 Ga 0.669 0.581 0.746 1
Ga2 Ga 0.829 0.171 0.250 1
Ga3 Ga 0.331 0.419 0.254 1
Ga4 Ga 0.581 0.669 0.246 1
Ga5 Ga 0.419 0.331 0.754 1
Ga6 Ga 0.171 0.829 0.750 1
Mo1 Mo 0.348 0.525 0.571 1
Mo2 Mo 0.652 0.476 0.429 1
Mo3 Mo 0.524 0.348 0.071 1
Mo4 Mo 0.476 0.652 0.929 1
C1 C 0.500 0.000 0.000 1
C2 C 0.650 0.199 0.500 1
C3 C 0.199 0.650 0.000 1
C4 C 0.000 0.500 0.500 1
C5 C 0.350 0.801 0.500 1
C6 C 0.801 0.350 0.000 1
```

## Properties
VASP energy ... -7.4861 eV/atom
Crystal system ... monoclinic

=====

Entry 5:
A geometry-optimized Nb4GaC2N structure. Source: the Open Quantum Materials Database, functional PBE-GGA.

Geometry as CIF:
```
data_Nb4GaC2N
_symmetry_space_group_name_H-M 'P 1'
_symmetry_Int_Tables_number 1
_cell_length_a 3.159
_cell_length_b 3.159
_cell_length_c 12.123
_cell_angle_alpha 90.00
_cell_angle_beta 90.00
_cell_angle_gamma 120.00
loop_
_symmetry_equiv_pos_as_xyz
'x,y,z'
loop_
_atom_site_label
_atom_site_type_symbol
_atom_site_fract_x
_atom_site_fract_y
_atom_site_fract_z
_atom_site_occupancy
N1 N 0.333 0.667 0.500 1
C1 C 0.667 0.333 0.279 1
C2 C 0.667 0.333 0.721 1
Nb1 Nb 0.333 0.667 0.183 1
Nb2 Nb 0.000 0.000 0.381 1
Nb3 Nb 0.000 0.000 0.619 1
Nb4 Nb 0.333 0.667 0.817 1
Ga1 Ga 0.000 0.000 0.000 1
```

## Properties
VASP energy ... -9.4005 eV/atom
Crystal system ... hexagonal

=====

Entry 6:
A geometry-optimized Ta8Ga2C3N3 structure. Source: the Open Quantum Materials Database, functional PBE-GGA.

Geometry as CIF:
```
data_Ta8Ga2C3N3
_symmetry_space_group_name_H-M 'P 1'
_symmetry_Int_Tables_number 1
_cell_length_a 3.114
_cell_length_b 3.114
_cell_length_c 24.049
_cell_angle_alpha 90.00
_cell_angle_beta 90.00
_cell_angle_gamma 120.00
loop_
_symmetry_equiv_pos_as_xyz
'x,y,z'
loop_
_atom_site_label
_atom_site_type_symbol
_atom_site_fract_x
_atom_site_fract_y
_atom_site_fract_z
_atom_site_occupancy
Ta1 Ta 0.333 0.667 0.056 1
Ta2 Ta 0.667 0.333 0.944 1
Ta3 Ta 0.000 0.000 0.841 1
Ta4 Ta 0.000 0.000 0.159 1
Ta5 Ta 0.333 0.667 0.448 1
Ta6 Ta 0.000 0.000 0.660 1
Ta7 Ta 0.667 0.333 0.552 1
Ta8 Ta 0.000 0.000 0.340 1
C1 C 0.333 0.667 0.891 1
C2 C 0.667 0.333 0.109 1
C3 C 0.000 0.000 0.000 1
N1 N 0.000 0.000 0.500 1
N2 N 0.667 0.333 0.394 1
N3 N 0.333 0.667 0.606 1
Ga1 Ga 0.667 0.333 0.749 1
Ga2 Ga 0.333 0.667 0.251 1
```

## Properties
VASP energy ... -10.2373 eV/atom
Crystal system ... trigonal